# 1
A crystal of KCoSn2 relaxed with PBEsol, computed with meta-GGA SCAN.

The structure belongs to space group Fm-3m (No. 225); the cell edges are 6.876, 6.876 and 6.876 Å and the angles 90.00°, 90.00° and 90.00°. The inequivalent atoms are K at (0.000, 0.000, 0.000), Co at (0.000, 0.000, 0.500) and Sn at (0.250, 0.250, 0.250).

---

# 2
A crystal of KSrCo3 relaxed with PBEsol, computed with meta-GGA SCAN.

The structure belongs to space group Pm-3m (No. 221); the cell edges are 5.169, 5.169 and 5.169 Å and the angles 90.00°, 90.00° and 90.00°. The inequivalent atoms are K at (0.000, 0.000, 0.000), Sr at (0.500, 0.500, 0.500) and Co at (0.000, 0.500, 0.500).

---

no.,E_form (eV/atom),size of the total moment (μB/f.u.),DOS(E_F) (states/eV/atom)
1,0.514,1.559,1.04
2,1.657,6.216,0.50